Record 1
## CdOs2Au (PBE)

Data for an optimized crystal structure of CdOs2Au.

## Properties
- VASP energy (eV per atom) = -5.67
- calculated volume (Å³/cell) = 66.3

CIF file:
```
data_CdOs2Au
_chemical_formula_sum 'Cd1 Os2 Au1'
_space_group_name_H-M_alt 'P 4/m m m'
_space_group_IT_number 123
_space_group_name_Hall '-P 4 2'
_cell_length_a 3.184
_cell_length_b 3.184
_cell_length_c 6.542
_cell_angle_alpha 90.00
_cell_angle_beta 90.00
_cell_angle_gamma 90.00
loop_
_atom_site_label
_atom_site_fract_x
_atom_site_fract_y
_atom_site_fract_z
_atom_site_occupancy
Cd1 0.000 0.000 0.000 1
Os1 0.500 0.500 0.272 1
Au1 0.000 0.000 0.500 1
```

---

Record 2
## CdOs2Au (PBE)

Data for an optimized crystal structure of CdOs2Au.

## Properties
- VASP energy (eV per atom) = -6.36
- calculated volume (Å³/cell) = 199.6

CIF file:
```
data_CdOs2Au
_chemical_formula_sum 'Cd3 Os6 Au3'
_space_group_name_H-M_alt 'R 3 m'
_space_group_IT_number 160
_space_group_name_Hall 'R 3 -2"'
_cell_length_a 2.8287
_cell_length_b 2.8287
_cell_length_c 28.8010
_cell_angle_alpha 90.00
_cell_angle_beta 90.00
_cell_angle_gamma 120.00
loop_
_atom_site_label
_atom_site_fract_x
_atom_site_fract_y
_atom_site_fract_z
_atom_site_occupancy
Cd1 0.0000 0.0000 0.0000 1
Os1 0.0000 0.0000 0.4905 1
Os2 0.0000 0.0000 0.7540 1
Au1 0.0000 0.0000 0.2425 1
```

---

Record 3
## Cd4OsAu2 (PBE)

Data for an optimized crystal structure of Cd4OsAu2.

## Properties
- VASP energy (eV per atom) = -2.50
- calculated volume (Å³/cell) = 369.6

CIF file:
```
data_Cd4OsAu2
_chemical_formula_sum 'Cd8 Os2 Au4'
_space_group_name_H-M_alt 'I 4/m m m'
_space_group_IT_number 139
_space_group_name_Hall '-I 4 2'
_cell_length_a 5.249
_cell_length_b 5.249
_cell_length_c 13.414
_cell_angle_alpha 90.00
_cell_angle_beta 90.00
_cell_angle_gamma 90.00
loop_
_atom_site_label
_atom_site_fract_x
_atom_site_fract_y
_atom_site_fract_z
_atom_site_occupancy
Cd1 0.000 0.000 0.198 1
Cd2 0.000 0.500 0.000 1
Os1 0.000 0.000 0.000 1
Au1 0.000 0.000 0.397 1
```

---

Record 4
## Cd2OsAu (PBE)

Data for an optimized crystal structure of Cd2OsAu.

## Properties
- VASP energy (eV per atom) = -3.63
- calculated volume (Å³/cell) = 146.3

CIF file:
```
data_Cd2OsAu
_chemical_formula_sum 'Cd4 Os2 Au2'
_space_group_name_H-M_alt 'C m m 2'
_space_group_IT_number 35
_cell_length_a 2.945
_cell_length_b 4.935
_cell_length_c 10.066
_cell_angle_alpha 90.00
_cell_angle_beta 90.00
_cell_angle_gamma 90.00
loop_
_space_group_symop_operation_xyz
'x,y,z'
'-x,-y,z'
'-x,y,z'
'x,-y,z'
'x+1/2,y+1/2,z'
'-x+1/2,-y+1/2,z'
'-x+1/2,y+1/2,z'
'x+1/2,-y+1/2,z'
loop_
_atom_site_label
_atom_site_fract_x
_atom_site_fract_y
_atom_site_fract_z
_atom_site_occupancy
Cd1 0.000 0.000 0.000 1
Cd2 0.000 0.500 0.271 1
Os1 0.000 0.500 0.760 1
Au1 0.000 0.000 0.524 1
```

---

Record 5
## CdOs2Au (PBE)

Data for an optimized crystal structure of CdOs2Au.

## Properties
- VASP energy (eV per atom) = -5.97
- calculated volume (Å³/cell) = 67.1

CIF file:
```
data_CdOs2Au
_chemical_formula_sum 'Cd1 Os2 Au1'
_space_group_name_H-M_alt 'P 1 2/m 1'
_space_group_IT_number 10
_cell_length_a 2.832
_cell_length_b 4.979
_cell_length_c 4.762
_cell_angle_alpha 90.00
_cell_angle_beta 91.70
_cell_angle_gamma 90.00
loop_
_space_group_symop_operation_xyz
'x,y,z'
'-x,-y,-z'
'-x,y,-z'
'x,-y,z'
loop_
_atom_site_label
_atom_site_fract_x
_atom_site_fract_y
_atom_site_fract_z
_atom_site_occupancy
Cd1 0.000 0.000 0.000 1
Os1 0.288 0.500 0.236 1
Au1 0.500 0.000 0.500 1
```

---

Record 6
## CdOs2Au (PBE)

Data for an optimized crystal structure of CdOs2Au.

## Properties
- VASP energy (eV per atom) = -5.81
- calculated volume (Å³/cell) = 67.7

CIF file:
```
data_CdOs2Au
_chemical_formula_sum 'Cd1 Os2 Au1'
_space_group_name_H-M_alt 'P m m m'
_space_group_IT_number 47
_cell_length_a 2.748
_cell_length_b 4.424
_cell_length_c 5.566
_cell_angle_alpha 90.00
_cell_angle_beta 90.00
_cell_angle_gamma 90.00
loop_
_space_group_symop_operation_xyz
'x,y,z'
'-x,-y,-z'
'-x,-y,z'
'x,y,-z'
'x,-y,-z'
'-x,y,z'
'-x,y,-z'
'x,-y,z'
loop_
_atom_site_label
_atom_site_fract_x
_atom_site_fract_y
_atom_site_fract_z
_atom_site_occupancy
Cd1 0.000 0.000 0.000 1
Os1 0.500 0.500 0.278 1
Au1 0.000 0.000 0.500 1
```

---

Record 7
## CdOs2Au (PBE)

Data for an optimized crystal structure of CdOs2Au.

## Properties
- VASP energy (eV per atom) = -5.90
- calculated volume (Å³/cell) = 132.8

CIF file:
```
data_CdOs2Au
_chemical_formula_sum 'Cd2 Os4 Au2'
_space_group_name_H-M_alt 'C m m m'
_space_group_IT_number 65
_space_group_name_Hall '-C 2 2'
_cell_length_a 2.804
_cell_length_b 4.785
_cell_length_c 9.894
_cell_angle_alpha 90.00
_cell_angle_beta 90.00
_cell_angle_gamma 90.00
loop_
_atom_site_label
_atom_site_fract_x
_atom_site_fract_y
_atom_site_fract_z
_atom_site_occupancy
Cd1 0.000 0.000 0.000 1
Os1 0.000 0.500 0.251 1
Au1 0.000 0.000 0.500 1
```

---

Record 8
## Cd2OsAu (PBE)

Data for an optimized crystal structure of Cd2OsAu.

## Properties
- VASP energy (eV per atom) = -3.55
- calculated volume (Å³/cell) = 288.1

CIF file:
```
data_Cd2OsAu
_chemical_formula_sum 'Cd8 Os4 Au4'
_space_group_name_H-M_alt 'F m -3 m'
_space_group_IT_number 225
_space_group_name_Hall '-F 4 2 3'
_cell_length_a 6.605
_cell_length_b 6.605
_cell_length_c 6.605
_cell_angle_alpha 90.00
_cell_angle_beta 90.00
_cell_angle_gamma 90.00
loop_
_atom_site_label
_atom_site_fract_x
_atom_site_fract_y
_atom_site_fract_z
_atom_site_occupancy
Cd1 0.250 0.250 0.250 1
Os1 0.000 0.000 0.000 1
Au1 0.000 0.000 0.500 1
```

---

Record 9
## Cd2OsAu (PBE)

Data for an optimized crystal structure of Cd2OsAu.

## Properties
- VASP energy (eV per atom) = -3.63
- calculated volume (Å³/cell) = 73.4

CIF file:
```
data_Cd2OsAu
_chemical_formula_sum 'Cd2 Os1 Au1'
_space_group_name_H-M_alt 'P 4 m m'
_space_group_IT_number 99
_cell_length_a 2.917
_cell_length_b 2.917
_cell_length_c 8.629
_cell_angle_alpha 90.00
_cell_angle_beta 90.00
_cell_angle_gamma 90.00
loop_
_space_group_symop_operation_xyz
'x,y,z'
'-y,x,z'
'-x,-y,z'
'y,-x,z'
'-x,y,z'
'y,x,z'
'x,-y,z'
'-y,-x,z'
loop_
_atom_site_label
_atom_site_fract_x
_atom_site_fract_y
_atom_site_fract_z
_atom_site_occupancy
Cd1 0.000 0.000 0.000 1
Cd2 0.500 0.500 0.284 1
Os1 0.000 0.000 0.521 1
Au1 0.500 0.500 0.747 1
```

---

Record 10
## Cd2OsAu (PBE)

Data for an optimized crystal structure of Cd2OsAu.

## Properties
- VASP energy (eV per atom) = -3.61
- calculated volume (Å³/cell) = 144.2

CIF file:
```
data_Cd2OsAu
_chemical_formula_sum 'Cd4 Os2 Au2'
_space_group_name_H-M_alt 'I 4/m m m'
_space_group_IT_number 139
_space_group_name_Hall '-I 4 2'
_cell_length_a 4.197
_cell_length_b 4.197
_cell_length_c 8.185
_cell_angle_alpha 90.00
_cell_angle_beta 90.00
_cell_angle_gamma 90.00
loop_
_atom_site_label
_atom_site_fract_x
_atom_site_fract_y
_atom_site_fract_z
_atom_site_occupancy
Cd1 0.000 0.500 0.250 1
Os1 0.000 0.000 0.000 1
Au1 0.000 0.000 0.500 1
```

---

Record 11
## CdOs2Au (PBE)

Data for an optimized crystal structure of CdOs2Au.

## Properties
- VASP energy (eV per atom) = -5.82
- calculated volume (Å³/cell) = 131.8

CIF file:
```
data_CdOs2Au
_chemical_formula_sum 'Cd2 Os4 Au2'
_space_group_name_H-M_alt 'C m m m'
_space_group_IT_number 65
_space_group_name_Hall '-C 2 2'
_cell_length_a 5.431
_cell_length_b 8.664
_cell_length_c 2.802
_cell_angle_alpha 90.00
_cell_angle_beta 90.00
_cell_angle_gamma 90.00
loop_
_atom_site_label
_atom_site_fract_x
_atom_site_fract_y
_atom_site_fract_z
_atom_site_occupancy
Cd1 0.000 0.000 0.000 1
Os1 0.250 0.250 0.500 1
Au1 0.000 0.500 0.000 1
```

---

Record 12
## Cd2OsAu (PBE)

Data for an optimized crystal structure of Cd2OsAu.

## Properties
- VASP energy (eV per atom) = -3.70
- calculated volume (Å³/cell) = 219.1

CIF file:
```
data_Cd2OsAu
_chemical_formula_sum 'Cd6 Os3 Au3'
_space_group_name_H-M_alt 'R 3 m'
_space_group_IT_number 160
_space_group_name_Hall 'R 3 -2"'
_cell_length_a 2.8985
_cell_length_b 2.8985
_cell_length_c 30.1063
_cell_angle_alpha 90.00
_cell_angle_beta 90.00
_cell_angle_gamma 120.00
loop_
_atom_site_label
_atom_site_fract_x
_atom_site_fract_y
_atom_site_fract_z
_atom_site_occupancy
Cd1 0.0000 0.0000 0.0000 1
Cd2 0.0000 0.0000 0.2399 1
Os1 0.0000 0.0000 0.7452 1
Au1 0.0000 0.0000 0.4891 1
```

---

no.,N(E_F) (states/eV/atom),total magnetization (μB per formula unit)
1,1.177,0.00
2,1.255,0.00
3,0.780,0.35
4,0.644,0.61
5,1.144,0.00
6,1.251,0.00
7,1.011,0.00
8,0.616,0.00
9,0.745,1.12
10,0.581,0.68
11,1.320,0.00
12,0.457,0.86